First-principles (PBE-GGA) data for crystalline ErIr2Au at its relaxed geometry, as listed in the Alexandria database.

As for the total DFT energy (no corrections): -6.844 eV/atom.

It has space group P4/mmm (No. 123), with a = 4.120 Å, b = 4.120 Å, c = 4.057 Å, α = 90.00°, β = 90.00° and γ = 90.00°. The inequivalent atoms are Er at (0.000, 0.000, 0.000), Ir at (0.000, 0.500, 0.500) and Au at (0.500, 0.500, 0.000).